PBE Nd5Sm2YTm, optimized geometry; spin magnetization = 0.000 μB/f.u.; space group = No. 140; ΔE_f = 0.28 eV/atom
1.0
8.617 0.000 0.000
0.000 8.617 0.000
-4.308 -4.308 8.401
Nd Sm Y Tm
10 4 2 2
Cartesian
6.751 2.443 2.392 Nd
2.443 -1.866 6.008 Nd
-2.443 1.866 6.008 Nd
-1.866 -2.443 6.008 Nd
1.866 2.443 6.008 Nd
6.174 6.751 2.392 Nd
2.443 1.866 2.392 Nd
1.866 6.174 2.392 Nd
4.308 4.308 0.000 Nd
0.000 0.000 0.000 Nd
1.049 3.260 0.000 Sm
5.357 1.049 0.000 Sm
3.260 7.568 0.000 Sm
7.568 5.357 0.000 Sm
0.000 0.000 4.200 Y
4.308 4.308 4.200 Y
0.000 4.308 4.200 Tm
4.308 0.000 4.200 Tm